## MnReBr2 (GGA-PBE)

Data for a relaxed MnReBr2 crystal.

a b c (Å): 3.063 4.414 6.007
angles (deg): 90.00 90.00 90.00
Sites, in units of the cell vectors:
Mn: 0.000 0.000 0.000
Re: 0.500 0.000 0.500
Br: 0.000 0.500 0.500
Br: 0.500 0.500 0.000

* E above lowest polymorph: 830.5 meV per atom
* magnetic moment: 6.16 μB per cell
* final energy: -20.81 eV for the cell shown